Record 1
The following is a GGA-PBE calculation of crystalline TbHoTm6 at its relaxed geometry, from Alexandria via LeMat-Bulk.

## Properties
- total energy (eV/atom) = -4.28
- energy of formation from the pure elements (eV per atom) = 0.230
- excess energy over the best structure of this formula in the dataset (meV per atom) = 13.4

Lattice parameters (Å, degrees): 6.6715 6.6715 9.1863 109.83 109.83 122.09
Closest atoms and distances in Å follow each position.
Fractional positions:
Tm 0.2553 0.2553 0.7501  6 Tm 3.27-3.46, 2 Tb 3.59-3.66, 2 Ho 3.60-3.65
Ho 0.0000 0.0000 0.0000  2 Tb 3.28, 8 Tm 3.45-3.65
Tm 0.3304 0.8097 0.7502  6 Tm 3.24-3.46, 1 Tb 3.44, 1 Ho 3.45
Tm 0.6696 0.1903 0.2498  6 Tm 3.24-3.46, 1 Tb 3.44, 1 Ho 3.45
Tm 0.8097 0.3304 0.7502  6 Tm 3.24-3.46, 1 Tb 3.44, 1 Ho 3.45
Tm 0.7447 0.7447 0.2499  6 Tm 3.27-3.46, 2 Tb 3.59-3.66, 2 Ho 3.60-3.65
Tm 0.1903 0.6696 0.2498  6 Tm 3.24-3.46, 1 Tb 3.44, 1 Ho 3.45
Tb 0.5000 0.5000 0.5000  2 Ho 3.28, 8 Tm 3.44-3.66

Record 2
The following is a GGA-PBE calculation of crystalline Tb5HoTm3 at its relaxed geometry, from Alexandria via LeMat-Bulk.

## Properties
- total energy (eV/atom) = -4.36
- energy of formation from the pure elements (eV per atom) = 0.215
- excess energy over the best structure of this formula in the dataset (meV per atom) = 0.0

Lattice parameters (Å, degrees): 6.6155 8.6499 11.5863 73.45 90.00 112.48
Closest atoms and distances in Å follow each position.
Fractional positions:
Tb 0.4859 0.5674 0.2641  2 Tm 3.32-3.57, 6 Tb 3.33-3.61
Tb 0.1299 0.3675 0.5484  2 Tm 3.18-3.33, 3 Tb 3.32-3.50, 1 Ho 3.53
Ho 0.2969 0.0000 0.2500  4 Tb 3.26-3.53, 4 Tm 3.46-3.50
Tm 0.0000 0.0000 0.5000  4 Tb 3.18-3.21, 2 Tm 3.41, 2 Ho 3.50
Tb 0.7624 0.6325 0.9516  2 Tm 3.18-3.33, 3 Tb 3.32-3.50, 1 Ho 3.53
Tb 0.0815 0.5674 0.7641  2 Tm 3.32-3.57, 6 Tb 3.33-3.61
Tb 0.7898 0.0000 0.2500  4 Tm 3.21-3.42, 2 Ho 3.26-3.36, 4 Tb 3.46-3.59
Tb 0.5141 0.4326 0.7359  2 Tm 3.32-3.57, 6 Tb 3.33-3.61
Tm 0.3444 0.7875 0.0162  5 Tb 3.32-3.66, 2 Tm 3.36-3.41, 1 Ho 3.46
Tb 0.2376 0.3675 0.0484  2 Tm 3.18-3.33, 3 Tb 3.32-3.50, 1 Ho 3.53
Tm 0.6556 0.2125 0.9838  5 Tb 3.32-3.66, 2 Tm 3.36-3.41, 1 Ho 3.46
Tb 0.9185 0.4326 0.2359  2 Tm 3.32-3.57, 6 Tb 3.33-3.61
Tb 0.2102 0.0000 0.7500  4 Tm 3.21-3.42, 2 Ho 3.26-3.36, 4 Tb 3.46-3.59
Tm 0.4431 0.7875 0.5162  5 Tb 3.32-3.66, 2 Tm 3.36-3.41, 1 Ho 3.46
Ho 0.7031 0.0000 0.7500  4 Tb 3.26-3.53, 4 Tm 3.46-3.50
Tb 0.8701 0.6325 0.4516  2 Tm 3.18-3.33, 3 Tb 3.32-3.50, 1 Ho 3.53
Tm 0.0000 0.0000 0.0000  4 Tb 3.18-3.21, 2 Tm 3.41, 2 Ho 3.50
Tm 0.5569 0.2125 0.4838  5 Tb 3.32-3.66, 2 Tm 3.36-3.41, 1 Ho 3.46

Record 3
The following is a GGA-PBE calculation of crystalline Tb4HoTm7 at its relaxed geometry, from Alexandria via LeMat-Bulk.

## Properties
- total energy (eV/atom) = -4.44
- energy of formation from the pure elements (eV per atom) = 0.091
- excess energy over the best structure of this formula in the dataset (meV per atom) = 0.0

Lattice parameters (Å, degrees): 6.7171 6.4461 11.6207 74.78 49.83 81.30
Closest atoms and distances in Å follow each position.
Fractional positions:
Tm 0.5000 0.0000 0.0000  4 Tb 3.36-3.60, 2 Ho 3.36, 4 Tm 3.43-3.64
Tb 0.6912 0.8367 0.6911  7 Tm 3.36-3.61, 2 Tb 3.45-3.47
Tm 0.7216 0.1882 0.3859  5 Tm 3.23-3.56, 5 Tb 3.26-3.57
Tb 0.3088 0.1633 0.3089  7 Tm 3.36-3.61, 2 Tb 3.45-3.47
Tm 0.9403 0.6827 0.3571  5 Tm 3.33-3.64, 4 Tb 3.41-3.47
Tm 0.0597 0.3173 0.6429  5 Tm 3.33-3.64, 4 Tb 3.41-3.47
Tm 0.1986 0.4855 0.0499  5 Tm 3.31-3.50, 4 Tb 3.34-3.63, 1 Ho 3.43
Tb 0.4791 0.3616 0.7134  8 Tm 3.26-3.63, 1 Ho 3.35, 2 Tb 3.45-3.47
Tb 0.5209 0.6384 0.2866  8 Tm 3.26-3.63, 1 Ho 3.35, 2 Tb 3.45-3.47
Tm 0.8014 0.5145 0.9501  5 Tm 3.31-3.50, 4 Tb 3.34-3.63, 1 Ho 3.43
Tm 0.2784 0.8118 0.6141  5 Tm 3.23-3.56, 5 Tb 3.26-3.57
Ho 0.0000 0.0000 0.0000  2 Tb 3.35, 4 Tm 3.36-3.43

Record 4
The following is a GGA-PBE calculation of crystalline Tb3HoTm2 at its relaxed geometry, from Alexandria via LeMat-Bulk.

## Properties
- total energy (eV/atom) = -4.57
- energy of formation from the pure elements (eV per atom) = -0.002

Lattice parameters (Å, degrees): 7.1103 10.0796 7.1096 79.82 120.01 121.92
Closest atoms and distances in Å follow each position.
Fractional positions:
Tb 0.2518 0.0012 0.7506  3 Tm 3.49-3.50, 5 Tb 3.50-3.56, 4 Ho 3.55-3.56
Tb 0.1949 0.3346 0.1388  4 Tb 3.48-3.56, 6 Tm 3.48-3.56, 2 Ho 3.50-3.51
Tm 0.6959 0.3340 0.1395  8 Tb 3.48-3.56, 3 Tm 3.48-3.56, 1 Ho 3.50
Tb 0.8051 0.6654 0.8612  4 Tb 3.48-3.56, 6 Tm 3.48-3.56, 2 Ho 3.50-3.51
Tb 0.7482 0.9988 0.2494  3 Tm 3.49-3.50, 5 Tb 3.50-3.56, 4 Ho 3.55-3.56
Tm 0.6958 0.3337 0.6394  7 Tb 3.48-3.56, 3 Tm 3.48-3.56, 2 Ho 3.49-3.50
Ho 0.2517 0.0010 0.2507  3 Tm 3.49-3.50, 7 Tb 3.50-3.56, 2 Ho 3.54-3.56
Tm 0.3041 0.6660 0.8605  8 Tb 3.48-3.56, 3 Tm 3.48-3.56, 1 Ho 3.50
Ho 0.7483 0.9990 0.7493  3 Tm 3.49-3.50, 7 Tb 3.50-3.56, 2 Ho 3.54-3.56
Tm 0.3042 0.6663 0.3606  7 Tb 3.48-3.56, 3 Tm 3.48-3.56, 2 Ho 3.49-3.50
Tb 0.8049 0.6650 0.3612  6 Tm 3.48-3.56, 5 Tb 3.48-3.56, 1 Ho 3.52
Tb 0.1951 0.3350 0.6388  6 Tm 3.48-3.56, 5 Tb 3.48-3.56, 1 Ho 3.52

Record 5
The following is a GGA-PBE calculation of crystalline Tb6Ho4Tm at its relaxed geometry, from Alexandria via LeMat-Bulk.

## Properties
- total energy (eV/atom) = -4.47
- energy of formation from the pure elements (eV per atom) = 0.129
- excess energy over the best structure of this formula in the dataset (meV per atom) = 0.0

Lattice parameters (Å, degrees): 5.6921 5.5637 25.4147 90.00 90.00 120.77
Closest atoms and distances in Å follow each position.
Fractional positions:
Ho 0.4625 0.9250 0.3781  5 Tb 3.12-3.28
Tb 0.8666 0.7331 0.6822  7 Tb 3.45-3.82, 4 Ho 3.50-3.62, 3 Tm 3.61-3.70
Tb 0.8666 0.7331 0.8178  7 Tb 3.45-3.82, 4 Ho 3.50-3.62, 3 Tm 3.61-3.70
Tb 0.8025 0.6051 0.1046  5 Ho 3.26-3.55
Tb 0.5000 0.0000 0.0000  6 Ho 3.12-3.38
Ho 0.1531 0.3062 0.4568  8 Tb 3.38-3.78, 2 Ho 3.57-3.66
Tb 0.1334 0.2669 0.3178  7 Tb 3.45-3.82, 4 Ho 3.50-3.62, 3 Tm 3.61-3.70
Tb 0.5333 0.0666 0.7500  3 Tm 3.21-3.25, 2 Ho 3.26
Ho 0.4625 0.9250 0.1219  5 Tb 3.12-3.28
Tb 0.5000 0.0000 0.5000  6 Ho 3.12-3.38
Ho 0.1531 0.3062 0.0432  8 Tb 3.38-3.78, 2 Ho 3.57-3.66
Ho 0.8469 0.6938 0.9568  8 Tb 3.38-3.78, 2 Ho 3.57-3.66
Tb 0.8025 0.6051 0.3954  5 Ho 3.26-3.55
Tb 0.4667 0.9334 0.2500  3 Tm 3.21-3.25, 2 Ho 3.26
Tb 0.1334 0.2669 0.1822  7 Tb 3.45-3.82, 4 Ho 3.50-3.62, 3 Tm 3.61-3.70
Tm 0.8021 0.6043 0.2500  3 Tb 3.21-3.25
Ho 0.5375 0.0750 0.8781  5 Tb 3.12-3.28
Tb 0.1975 0.3949 0.6046  5 Ho 3.26-3.55
Ho 0.5375 0.0750 0.6219  5 Tb 3.12-3.28
Ho 0.8469 0.6938 0.5432  8 Tb 3.38-3.78, 2 Ho 3.57-3.66
Tm 0.1979 0.3957 0.7500  3 Tb 3.21-3.25
Tb 0.1975 0.3949 0.8954  5 Ho 3.26-3.55

Record 6
The following is a GGA-PBE calculation of crystalline Tb7HoTm12 at its relaxed geometry, from Alexandria via LeMat-Bulk.

## Properties
- total energy (eV/atom) = -3.80
- energy of formation from the pure elements (eV per atom) = 0.732
- excess energy over the best structure of this formula in the dataset (meV per atom) = 424.5

Lattice parameters (Å, degrees): 9.6091 9.6091 9.6091 109.47 109.47 109.47
Closest atoms and distances in Å follow each position.
Fractional positions:
Tb 0.5000 0.5000 0.0000  12 Tm 3.92-3.94
Tm 0.7512 0.2489 0.0001  2 Tb 2.77
Tb 0.0000 0.0000 0.5000  6 Tm 2.77
Tb 0.5000 0.0000 0.5000  12 Tm 3.92-3.94
Tb 0.0000 0.5000 0.0000  6 Tm 2.77
Tm 0.2489 0.0001 0.7512  2 Tb 2.77
Tm 0.4977 0.2488 0.2489  2 Tb 2.77
Ho 0.0000 0.0000 0.0000  12 Tm 3.90
Tm 0.7512 0.7511 0.5023  2 Tb 2.77
Tm 0.7511 0.9999 0.2488  2 Tb 2.77
Tb 0.5000 0.5000 0.5000  6 Tm 2.77
Tm 0.2488 0.7511 0.9999  2 Tb 2.77
Tm 0.5023 0.7512 0.7511  2 Tb 2.77
Tm 0.0001 0.7512 0.2489  2 Tb 2.77
Tm 0.2489 0.4977 0.2488  2 Tb 2.77
Tm 0.7511 0.5023 0.7512  2 Tb 2.77
Tm 0.9999 0.2488 0.7511  2 Tb 2.77
Tb 0.5000 0.0000 0.0000  6 Tm 2.77
Tb 0.0000 0.5000 0.5000  12 Tm 3.92-3.94
Tm 0.2488 0.2489 0.4977  2 Tb 2.77

Record 7
The following is a GGA-PBE calculation of crystalline Tb5Ho3Tm at its relaxed geometry, from Alexandria via LeMat-Bulk.

## Properties
- total energy (eV/atom) = -4.07
- energy of formation from the pure elements (eV per atom) = 0.522
- excess energy over the best structure of this formula in the dataset (meV per atom) = 347.1

Lattice parameters (Å, degrees): 9.4361 9.4361 11.5282 52.84 52.84 74.40
Closest atoms and distances in Å follow each position.
Fractional positions:
Tm 0.8507 0.8507 0.4014  4 Ho 3.19-3.38, 2 Tb 3.28-3.35
Tb 0.8478 0.3435 0.2543  2 Tb 3.30-3.38, 2 Ho 3.45-3.52
Tb 0.1826 0.1826 0.0398  3 Ho 3.11-3.32, 3 Tb 3.26-3.30, 1 Tm 3.28
Tb 0.4894 0.4894 0.2353  3 Ho 3.18-3.32, 3 Tb 3.26-3.38, 1 Tm 3.35
Tm 0.1493 0.1493 0.5986  4 Ho 3.19-3.38, 2 Tb 3.28-3.35
Tb 0.3435 0.8478 0.2543  2 Tb 3.30-3.38, 2 Ho 3.45-3.52
Tb 0.6565 0.1522 0.7457  2 Tb 3.30-3.38, 2 Ho 3.45-3.52
Tb 0.2565 0.7435 0.0000  1 Ho 2.93
Tb 0.1522 0.6565 0.7457  2 Tb 3.30-3.38, 2 Ho 3.45-3.52
Ho 0.0000 0.0000 0.5000  2 Ho 3.04, 2 Tm 3.19
Tb 0.7435 0.2565 0.0000  1 Ho 2.93
Ho 0.6897 0.6897 0.8201  1 Ho 3.04, 5 Tb 3.18-3.34, 1 Tm 3.38
Ho 0.0000 0.0000 0.0000  4 Tb 2.93-3.11, 2 Tm 3.27
Tb 0.8174 0.8174 0.9602  3 Ho 3.11-3.32, 3 Tb 3.26-3.30, 1 Tm 3.28
Tb 0.5106 0.5106 0.7647  3 Ho 3.18-3.32, 3 Tb 3.26-3.38, 1 Tm 3.35
Ho 0.3103 0.3103 0.1799  1 Ho 3.04, 5 Tb 3.18-3.34, 1 Tm 3.38
Ho 0.6601 0.6601 0.3584  2 Ho 3.16-3.34, 4 Tb 3.19-3.52, 1 Tm 3.26
Ho 0.3399 0.3399 0.6416  2 Ho 3.16-3.34, 4 Tb 3.19-3.52, 1 Tm 3.26

Record 8
The following is a GGA-PBE calculation of crystalline Tb3Ho5Tm2 at its relaxed geometry, from Alexandria via LeMat-Bulk.

## Properties
- total energy (eV/atom) = -4.22
- energy of formation from the pure elements (eV per atom) = 0.357
- excess energy over the best structure of this formula in the dataset (meV per atom) = 154.1

Lattice parameters (Å, degrees): 6.2131 10.9713 10.9713 99.67 73.55 73.55
Closest atoms and distances in Å follow each position.
Fractional positions:
Ho 0.2500 0.5000 0.5000  8 Ho 3.11-3.30
Ho 0.5992 0.2443 0.5573  1 Tm 3.14, 2 Ho 3.30, 1 Tb 3.45
Ho 0.7500 0.5000 0.5000  8 Ho 3.11-3.30
Tm 0.9009 0.2556 0.9427  1 Ho 3.14, 3 Tb 3.30-3.46
Ho 0.4008 0.7557 0.4427  1 Tm 3.14, 2 Ho 3.30, 1 Tb 3.45
Tm 0.5991 0.0573 0.7444  1 Ho 3.14, 3 Tb 3.30-3.46
Tb 0.2500 0.0000 0.0000  2 Tb 3.11, 2 Ho 3.18, 4 Tm 3.30
Ho 0.0000 0.7500 0.7500  3 Ho 3.11-3.18, 1 Tb 3.18
Tm 0.0991 0.7444 0.0573  1 Ho 3.14, 3 Tb 3.30-3.46
Tb 0.7500 0.0000 0.0000  2 Tb 3.11, 2 Ho 3.18, 4 Tm 3.30
Ho 0.0000 0.2500 0.2500  3 Ho 3.11-3.18, 1 Tb 3.18
Ho 0.5000 0.7500 0.7500  3 Ho 3.11-3.18, 1 Tb 3.18
Tb 0.6590 0.5916 0.0904  4 Ho 3.45-3.64, 4 Tm 3.46-3.63
Ho 0.9008 0.4427 0.7557  1 Tm 3.14, 2 Ho 3.30, 1 Tb 3.45
Tb 0.3410 0.4084 0.9096  4 Ho 3.45-3.64, 4 Tm 3.46-3.63
Ho 0.0992 0.5573 0.2443  1 Tm 3.14, 2 Ho 3.30, 1 Tb 3.45
Ho 0.5000 0.2500 0.2500  3 Ho 3.11-3.18, 1 Tb 3.18
Tm 0.4009 0.9427 0.2556  1 Ho 3.14, 3 Tb 3.30-3.46
Tb 0.8410 0.9096 0.4084  4 Ho 3.45-3.64, 4 Tm 3.46-3.63
Tb 0.1590 0.0904 0.5916  4 Ho 3.45-3.64, 4 Tm 3.46-3.63

Record 9
The following is a GGA-PBE calculation of crystalline Tb3Ho4Tm2 at its relaxed geometry, from Alexandria via LeMat-Bulk.

## Properties
- total energy (eV/atom) = -4.55
- energy of formation from the pure elements (eV per atom) = 0.019
- excess energy over the best structure of this formula in the dataset (meV per atom) = 0.0

Lattice parameters (Å, degrees): 4.9742 7.8753 14.5479 144.48 90.00 108.41
Closest atoms and distances in Å follow each position.
Fractional positions:
Tb 0.0000 0.0000 0.0000  2 Tb 3.52, 6 Ho 3.52-3.53, 4 Tm 3.52
Ho 0.8884 0.7769 0.6665  4 Tb 3.51-3.53, 3 Tm 3.51-3.53, 5 Ho 3.52
Tm 0.2221 0.4442 0.6663  5 Ho 3.51-3.53, 6 Tb 3.52, 1 Tm 3.52
Ho 0.3334 0.6668 0.0001  2 Tm 3.52-3.53, 5 Ho 3.52, 5 Tb 3.52-3.53
Tb 0.4446 0.8893 0.3337  6 Ho 3.51-3.53, 4 Tm 3.52, 2 Tb 3.52
Ho 0.6666 0.3332 0.9999  2 Tm 3.52-3.53, 5 Ho 3.52, 5 Tb 3.52-3.53
Tm 0.7779 0.5558 0.3337  5 Ho 3.51-3.53, 6 Tb 3.52, 1 Tm 3.52
Tb 0.5554 0.1107 0.6663  6 Ho 3.51-3.53, 4 Tm 3.52, 2 Tb 3.52
Ho 0.1116 0.2231 0.3335  4 Tb 3.51-3.53, 3 Tm 3.51-3.53, 5 Ho 3.52